[1]
! GGA-PBEsol Fe2CoSe4, relaxed; values from VASP
! **Raw total energy**: -43.2 eV/cell
! **ΔE_f (raw)**: -309.1 meV/atom
! **Size of the total moment**: 0.342 μB/atom
&SYSTEM
  ibrav = 0, nat = 7, ntyp = 3
/
ATOMIC_SPECIES
Co 58.93 Co.upf
Fe 55.84 Fe.upf
Se 78.96 Se.upf
CELL_PARAMETERS angstrom
3.4657 0.0000 0.0000
0.0000 5.9052 -0.0025
-1.7328 -2.7084 5.2064
ATOMIC_POSITIONS angstrom
Co 0.0000 0.0000 0.0000
Fe 0.0000 0.3868 2.7217
Fe 1.7328 2.8100 2.4822
Se 0.0000 2.0673 1.1383
Se 1.7328 1.1296 4.0655
Se 0.0000 -1.8556 3.7673
Se 1.7328 5.0524 1.4366

[2]
! GGA-PBEsol BeGaP3, relaxed; values from VASP
! **Raw total energy**: -21.7 eV/cell
! **ΔH_f (0 K)**: 0.600 eV per atom
! **Size of the total moment**: 0.000 μB/atom
&SYSTEM
  ibrav = 0, nat = 5, ntyp = 3
/
ATOMIC_SPECIES
P 30.97 P.upf
Ga 69.72 Ga.upf
Be 9.01 Be.upf
CELL_PARAMETERS angstrom
-3.4612 2.4467 -0.3666
-0.1570 -0.8464 -4.1665
-2.4690 -3.3761 0.7789
ATOMIC_POSITIONS angstrom
P -0.0785 -0.4232 -2.0832
P -1.2345 -1.6880 0.3894
P -1.7306 1.2233 -0.1833
Ga -3.0436 -0.8879 -1.8771
Be 0.0000 0.0000 0.0000

[3]
! GGA-PBEsol NiIr2Ru, relaxed; values from VASP
! **Raw total energy**: -35.8 eV/cell
! **ΔH_f (0 K)**: 0.034 eV per atom
! **Size of the total moment**: 0.002 μB/atom
&SYSTEM
  ibrav = 0, nat = 4, ntyp = 3
/
ATOMIC_SPECIES
Ru 101.07 Ru.upf
Ir 192.22 Ir.upf
Ni 58.69 Ni.upf
CELL_PARAMETERS angstrom
2.6698 0.0000 -0.0001
0.0000 4.5476 0.0038
-1.3351 -0.7808 4.3100
ATOMIC_POSITIONS angstrom
Ru 1.3348 0.7487 2.1568
Ir -0.0004 0.0323 0.0016
Ir 0.0002 2.9830 2.1516
Ni 1.3347 2.2766 0.0056

[4]
! GGA-PBEsol TiGaSb3, relaxed; values from VASP
! **Raw total energy**: -24.4 eV/cell
! **ΔE_f (raw)**: 196.4 meV/atom
! **Size of the total moment**: 0.000 μB/atom
&SYSTEM
  ibrav = 0, nat = 5, ntyp = 3
/
ATOMIC_SPECIES
Sb 121.76 Sb.upf
Ga 69.72 Ga.upf
Ti 47.87 Ti.upf
CELL_PARAMETERS angstrom
5.1979 0.0000 0.0000
0.0000 5.1979 0.0000
0.0000 0.0000 5.1979
ATOMIC_POSITIONS angstrom
Sb 0.0000 2.5989 0.0000
Sb 0.0000 0.0000 2.5989
Sb 2.5989 0.0000 0.0000
Ga 2.5989 2.5989 2.5989
Ti 0.0000 0.0000 0.0000

[5]
! GGA-PBEsol GeTe2As, relaxed; values from VASP
! **Raw total energy**: -15.4 eV/cell
! **ΔE_f (raw)**: 414.1 meV/atom
! **Size of the total moment**: 0.000 μB/atom
&SYSTEM
  ibrav = 0, nat = 4, ntyp = 3
/
ATOMIC_SPECIES
As 74.92 As.upf
Te 127.60 Te.upf
Ge 72.64 Ge.upf
CELL_PARAMETERS angstrom
3.1591 0.0000 0.0000
1.5795 2.7358 0.0000
1.5795 0.9119 10.9805
ATOMIC_POSITIONS angstrom
As 3.1591 1.8239 5.4903
Te 4.7386 2.7358 2.8718
Te 1.5795 0.9119 8.1087
Ge 0.0000 0.0000 0.0000

[6]
! GGA-PBEsol Re3SnCl, relaxed; values from VASP
! **Raw total energy**: -37.6 eV/cell
! **ΔE_f (raw)**: 1731.7 meV/atom
! **Size of the total moment**: 0.178 μB/atom
&SYSTEM
  ibrav = 0, nat = 5, ntyp = 3
/
ATOMIC_SPECIES
Re 186.21 Re.upf
Sn 118.71 Sn.upf
Cl 35.45 Cl.upf
CELL_PARAMETERS angstrom
-3.7568 -0.3039 -2.2250
0.0574 -4.3481 0.4970
-2.2449 0.3975 3.7362
ATOMIC_POSITIONS angstrom
Re 0.0287 -2.1741 0.2485
Re -1.1225 0.1987 1.8681
Re -1.8784 -0.1519 -1.1125
Sn -2.9722 -2.1273 1.0041
Cl 0.0000 0.0000 0.0000